1.
4
Lattice="3.890 0.000 0.000 0.000 3.890 0.000 0.000 0.000 10.029" Properties=species:S:1:pos:R:3 comment="PBE Ba2ZrCd, relaxed" delta_e_f_ev_per_atom=0.178 sg=P4mm pbc="T T T"
Cd 0.000 0.000 5.584
Ba 1.945 1.945 3.169
Ba 0.000 0.000 9.428
Zr 1.945 1.945 6.892


2.
13
Lattice="-3.937 3.013 1.135 -3.042 -0.271 -9.829 -2.749 -6.007 6.404" Properties=species:S:1:pos:R:3 comment="PBE Pr8In2Rh3, relaxed" delta_e_f_ev_per_atom=-0.353 sg=P2/m pbc="T T T"
Pr -5.229 -0.090 -6.504
Pr -4.821 -4.882 -3.761
Pr -4.908 1.617 1.471
Pr -4.499 -3.175 4.214
Pr -6.046 -3.316 -0.773
Pr -6.406 1.514 -3.450
Pr -3.322 -4.779 1.161
Pr -3.683 0.051 -1.517
Rh -6.210 2.807 -6.199
Rh -1.969 1.506 0.568
Rh -3.519 -6.072 3.909
In -4.151 -1.631 1.325
In -5.578 -1.634 -3.615


3.
5
Lattice="-4.524 0.951 -2.267 -1.526 -4.808 1.028 -2.019 1.650 4.721" Properties=species:S:1:pos:R:3 comment="PBE HfHSe2Br, relaxed" sg=P4/mmm pbc="T T T"
H -4.034 -1.104 1.741
Hf 0.000 0.000 0.000
Br -1.009 0.825 2.360
Se -0.763 -2.404 0.514
Se -2.262 0.475 -1.133


Number 1: total energy -3.1493 eV per atom. Number 2: total energy -5.4118 eV per atom. Number 3: total energy -4.5728 eV per atom.